[1]
5
Lattice="3.508 0.000 0.000 0.000 3.863 0.000 0.000 1.931 6.955" Properties=species:S:1:pos:R:3 comment="Tm2InNi2 PBEsol optimized geometry" total_energy_ev_per_atom=-5.5959 magnetic_moment_mub_per_cell=0.00 n_ef_per_ev_cell=2.39 pbc="T T T"
Tm 1.754 3.863 5.014
Ni 0.000 3.863 2.760
In 0.000 0.000 0.000
Tm 1.754 1.931 1.941
Ni 0.000 1.931 4.195

=====

[2]
5
Lattice="-1.176 0.099 -4.486 -2.715 -3.708 0.630 -3.573 2.785 0.998" Properties=species:S:1:pos:R:3 comment="Li3PbCl PBEsol optimized geometry" total_energy_ev_per_atom=-3.0848 magnetic_moment_mub_per_cell=0.00 n_ef_per_ev_cell=1.86 e_form_raw_mev_per_atom=-703 polymorph_energy_mev_per_atom=0 pbc="T T T"
Li -1.786 1.392 0.499
Li -0.588 0.050 -2.243
Cl 0.000 0.000 0.000
Pb -3.732 -0.412 -1.429
Li -1.357 -1.854 0.315

=====

[3]
5
Lattice="-3.656 1.110 -0.994 -1.252 -0.859 3.645 0.809 3.690 1.148" Properties=species:S:1:pos:R:3 comment="BaH3F PBEsol optimized geometry" total_energy_ev_per_atom=-2.8058 magnetic_moment_mub_per_cell=1.48 n_ef_per_ev_cell=2.03 polymorph_energy_mev_per_atom=0 pbc="T T T"
H -0.626 -0.430 1.822
H 0.404 1.845 0.574
F 0.000 0.000 0.000
H -1.828 0.555 -0.497
Ba -2.050 1.970 1.899